# 1
{
  "formula": "Pu2CoWN5",
  "functional": "PBE",
  "state": "optimized geometry",
  "lattice_angstrom": [[3.1856, 0.0000, 0.0000], [-1.5928, 6.3302, 0.0000], [0.0000, 0.0000, 10.0963]],
  "species": ["N", "W", "Pu", "Co", "N", "N", "N", "Co", "N", "N", "Pu", "N", "N", "W", "N", "Pu", "Pu", "N"],
  "fractional_positions": [[0.9489, 0.8978, 0.5648], [0.2012, 0.4025, 0.0145], [0.8541, 0.7082, 0.8068], [0.4775, 0.9549, 0.4566], [0.5150, 0.0299, 0.2752], [0.4850, 0.9701, 0.7752], [0.2830, 0.5660, 0.6523], [0.5225, 0.0451, 0.9566], [0.3240, 0.6479, 0.3735], [0.7170, 0.4340, 0.1523], [0.8983, 0.7965, 0.1847], [0.0511, 0.1022, 0.0648], [0.3659, 0.7318, 0.9956], [0.7988, 0.5975, 0.5145], [0.6760, 0.3521, 0.8735], [0.1017, 0.2035, 0.6847], [0.1459, 0.2918, 0.3068], [0.6341, 0.2682, 0.4956]],
  "density_g_cm3": 13.063,
  "total_energy_ry_per_atom": -0.788,
  "raw_formation_energy_mev_per_atom": -682,
  "magnetic_moment_mub_per_atom": 0.869
}



# 2
{
  "formula": "YPu2CoN4",
  "functional": "PBE",
  "state": "optimized geometry",
  "lattice_angstrom": [[-1.1175, 2.8429, 1.4639], [0.9840, -3.8386, 4.2867], [10.7146, 3.7495, 0.8980]],
  "species": ["Y", "Pu", "N", "N", "N", "N", "N", "Co", "Pu", "Y", "Pu", "Pu", "N", "Co", "N", "N"],
  "fractional_positions": [[0.1057, 0.2115, 0.7500], [0.3691, 0.7383, 0.9427], [0.2663, 0.5326, 0.3835], [0.0000, 0.0000, 0.5000], [0.7337, 0.4674, 0.6165], [0.5492, 0.0985, 0.2500], [0.4508, 0.9015, 0.7500], [0.1558, 0.3116, 0.2500], [0.6309, 0.2617, 0.0573], [0.8943, 0.7885, 0.2500], [0.6309, 0.2617, 0.4427], [0.3691, 0.7383, 0.5573], [0.2663, 0.5326, 0.1165], [0.8442, 0.6884, 0.7500], [0.7337, 0.4674, 0.8835], [0.0000, 0.0000, 0.0000]],
  "density_g_cm3": 10.663,
  "total_energy_ry_per_atom": -0.770,
  "raw_formation_energy_mev_per_atom": -1041,
  "magnetic_moment_mub_per_atom": 0.750
}



# 3
{
  "formula": "RbCo2N",
  "functional": "PBE",
  "state": "optimized geometry",
  "lattice_angstrom": [[5.8951, 0.0000, 0.0000], [0.0000, 5.8951, 0.0000], [2.9476, 2.9476, 4.1707]],
  "species": ["Co", "Co", "Rb", "Co", "Rb", "N", "Co", "N"],
  "fractional_positions": [[0.3749, 0.6250, 0.2500], [0.8750, 0.6251, 0.7500], [0.7500, 0.2500, 0.5000], [0.3751, 0.1250, 0.2500], [0.0000, 0.0000, 0.0000], [0.2500, 0.7500, 0.5000], [0.3750, 0.6249, 0.7500], [0.5000, 0.5000, 0.0000]],
  "density_g_cm3": 4.980,
  "polymorph_energy_mev_per_atom": 0,
  "total_energy_ry_per_atom": -0.406,
  "raw_formation_energy_mev_per_atom": 352,
  "magnetic_moment_mub_per_atom": 0.406
}



# 4
{
  "formula": "Rb3CoN",
  "functional": "PBE",
  "state": "optimized geometry",
  "lattice_angstrom": [[5.7776, 0.0000, 0.0000], [0.0000, 5.7776, 0.0000], [0.0000, 0.0000, 5.7776]],
  "species": ["Rb", "N", "Rb", "Rb", "Co"],
  "fractional_positions": [[0.0000, 0.0000, 0.5000], [0.0000, 0.0000, 0.0000], [0.5000, 0.0000, 0.0000], [0.0000, 0.5000, 0.0000], [0.5000, 0.5000, 0.5000]],
  "density_g_cm3": 2.836,
  "total_energy_ry_per_atom": -0.192,
  "raw_formation_energy_mev_per_atom": 1055,
  "magnetic_moment_mub_per_atom": 0.402
}



# 5
{
  "formula": "RbCo2N",
  "functional": "PBE",
  "state": "optimized geometry",
  "lattice_angstrom": [[0.0000, 3.0421, 3.0421], [3.0421, 0.0000, 3.0421], [3.0421, 3.0421, 0.0000]],
  "species": ["Co", "Co", "Rb", "N"],
  "fractional_positions": [[0.7500, 0.7500, 0.7500], [0.2500, 0.2500, 0.2500], [0.5000, 0.5000, 0.5000], [0.0000, 0.0000, 0.0000]],
  "density_g_cm3": 6.410,
  "polymorph_energy_mev_per_atom": 1740,
  "total_energy_ry_per_atom": -0.278,
  "raw_formation_energy_mev_per_atom": 2091,
  "magnetic_moment_mub_per_atom": 1.007
}



# 6
{
  "formula": "RbCoS2N",
  "functional": "PBE",
  "state": "optimized geometry",
  "lattice_angstrom": [[-3.7113, 1.3982, 3.3664], [1.9671, -3.2764, 3.5295], [2.0159, 2.4903, 1.1881]],
  "species": ["S", "Rb", "N", "Co", "S"],
  "fractional_positions": [[0.5000, 0.0000, 0.0000], [0.5000, 0.5000, 0.5000], [0.0000, 0.0000, 0.5000], [0.0000, 0.0000, 0.0000], [0.0000, 0.5000, 0.0000]],
  "density_g_cm3": 3.996,
  "polymorph_energy_mev_per_atom": 0,
  "total_energy_ry_per_atom": -0.341,
  "raw_formation_energy_mev_per_atom": 285,
  "magnetic_moment_mub_per_atom": 0.097
}